Entry 1:
A plane-wave DFT calculation with GGA-PBE was carried out for a relaxed structure of TaMoPt.

Calculated values
formation enthalpy at 0 K	-0.24	eV per atom
raw total energy	-58.887	eV/cell
E above lowest polymorph	106	meV per atom

Lattice parameters (Å, degrees): 4.871 4.945 5.172 107.53 98.08 117.34
Space group P1 (No. 1)
Asymmetric unit:
Ta 0.000 0.000 0.000 x1
Ta 0.206 0.755 0.479 x1
Mo 0.671 0.321 0.998 x1
Mo 0.880 0.081 0.500 x1
Pt 0.339 0.657 0.970 x1
Pt 0.543 0.431 0.515 x1

Entry 2:
A plane-wave DFT calculation with GGA-PBE was carried out for a relaxed structure of TaMoPt2.

Calculated values
formation enthalpy at 0 K	-0.41	eV per atom
raw total energy	-72.824	eV/cell
E above lowest polymorph	108	meV per atom

Lattice parameters (Å, degrees): 9.328 2.794 5.026 90.00 99.47 90.00
Space group Cm (No. 8)
Asymmetric unit:
Ta 0.000 0.000 0.000 x2
Mo 0.248 0.500 0.298 x2
Pt 0.251 0.000 0.783 x2
Pt 0.495 0.000 0.499 x2